a) # CsLi2Sn2

Crystalline CsLi2Sn2 at its relaxed geometry (PBE-GGA, the Alexandria database).

Properties
symmetry	No. 139
theoretical density	4.080	Mg/m³

Cell lengths 6.5187, 6.5187, 6.5187 Å; angles 130.53, 130.53, 72.55 degrees
Positions (direct):
1 Cs 0.0000 0.0000 0.0000
2 Li 0.2500 0.7500 0.5000
3 Li 0.7500 0.2500 0.5000
4 Sn 0.3685 0.3685 0.0000
5 Sn 0.6315 0.6315 0.0000


b) # CsLi2Sn2

Crystalline CsLi2Sn2 at its relaxed geometry (PBE-GGA, the Alexandria database).

Properties
symmetry	No. 127
theoretical density	4.480	Mg/m³

Cell lengths 9.1856, 9.1856, 3.3755 Å; angles 90.00, 90.00, 90.00 degrees
Positions (direct):
1 Cs 0.0000 0.0000 0.0000
2 Cs 0.5000 0.5000 0.0000
3 Li 0.1532 0.3468 0.0000
4 Li 0.3468 0.8468 0.0000
5 Li 0.6532 0.1532 0.0000
6 Li 0.8468 0.6532 0.0000
7 Sn 0.1195 0.6195 0.5000
8 Sn 0.3805 0.1195 0.5000
9 Sn 0.6195 0.8805 0.5000
10 Sn 0.8805 0.3805 0.5000


Order of stability, best first: a), b)


a) # CsLiSn

Crystalline CsLiSn at its relaxed geometry (PBE-GGA, the Alexandria database).

Properties
symmetry	No. 12
theoretical density	3.212	Mg/m³

Cell lengths 4.8774, 4.8774, 13.2285 Å; angles 99.69, 99.69, 60.01 degrees
Positions (direct):
1 Cs 0.2409 0.2409 0.1958
2 Cs 0.7591 0.7591 0.8042
3 Li 0.3375 0.3375 0.5139
4 Li 0.6625 0.6625 0.4861
5 Sn 0.0321 0.0321 0.6058
6 Sn 0.9679 0.9679 0.3942


b) # CsLiSn

Crystalline CsLiSn at its relaxed geometry (PBE-GGA, the Alexandria database).

Properties
symmetry	No. 187
theoretical density	3.388	Mg/m³

Cell lengths 4.9277, 4.9277, 6.0264 Å; angles 90.00, 90.00, 120.00 degrees
Positions (direct):
1 Cs 0.0000 0.0000 0.0000
2 Li 0.6667 0.3333 0.5000
3 Sn 0.3333 0.6667 0.5000


Order of stability, best first: a), b)


a) # Cs2SrLi2

Crystalline Cs2SrLi2 at its relaxed geometry (PBE-GGA, the Alexandria database).

Properties
symmetry	No. 127
theoretical density	2.034	Mg/m³

Cell lengths 9.6959, 9.6959, 6.3804 Å; angles 90.00, 90.00, 90.00 degrees
Positions (direct):
1 Cs 0.1762 0.3238 0.0000
2 Cs 0.3238 0.8238 0.0000
3 Cs 0.6762 0.1762 0.0000
4 Cs 0.8238 0.6762 0.0000
5 Sr 0.0000 0.0000 0.5000
6 Sr 0.5000 0.5000 0.5000
7 Li 0.1142 0.6142 0.5000
8 Li 0.3858 0.1142 0.5000
9 Li 0.6142 0.8858 0.5000
10 Li 0.8858 0.3858 0.5000


b) # Cs2SrLi2

Crystalline Cs2SrLi2 at its relaxed geometry (PBE-GGA, the Alexandria database).

Properties
symmetry	No. 139
theoretical density	1.963	Mg/m³

Cell lengths 8.2540, 8.2540, 8.2540 Å; angles 131.30, 131.30, 71.34 degrees
Positions (direct):
1 Cs 0.1409 0.1409 0.0000
2 Cs 0.8591 0.8591 0.0000
3 Sr 0.5000 0.5000 0.0000
4 Li 0.2500 0.7500 0.5000
5 Li 0.7500 0.2500 0.5000


Order of stability, best first: a), b)


a) # CsLi3Te

Crystalline CsLi3Te at its relaxed geometry (PBE-GGA, the Alexandria database).

Properties
symmetry	No. 221
theoretical density	2.642	Mg/m³

Cell lengths 5.6124, 5.6124, 5.6124 Å; angles 90.00, 90.00, 90.00 degrees
Positions (direct):
1 Cs 0.0000 0.0000 0.0000
2 Li 0.0000 0.0000 0.5000
3 Li 0.0000 0.5000 0.0000
4 Li 0.5000 0.0000 0.0000
5 Te 0.5000 0.5000 0.5000


b) # CsLi3Te

Crystalline CsLi3Te at its relaxed geometry (PBE-GGA, the Alexandria database).

Properties
symmetry	No. 221
theoretical density	2.653	Mg/m³

Cell lengths 5.6048, 5.6048, 5.6048 Å; angles 90.00, 90.00, 90.00 degrees
Positions (direct):
1 Cs 0.0000 0.0000 0.0000
2 Li 0.0000 0.5000 0.5000
3 Li 0.5000 0.0000 0.5000
4 Li 0.5000 0.5000 0.0000
5 Te 0.5000 0.5000 0.5000


Order of stability, best first: b), a)


a) # Cs2LiTe2

Crystalline Cs2LiTe2 at its relaxed geometry (PBE-GGA, the Alexandria database).

Properties
symmetry	No. 127
theoretical density	4.173	Mg/m³

Cell lengths 8.4325, 8.4325, 5.9086 Å; angles 90.00, 90.00, 90.00 degrees
Positions (direct):
1 Cs 0.1574 0.3426 0.0000
2 Cs 0.3426 0.8426 0.0000
3 Cs 0.6574 0.1574 0.0000
4 Cs 0.8426 0.6574 0.0000
5 Li 0.0000 0.0000 0.5000
6 Li 0.5000 0.5000 0.5000
7 Te 0.1504 0.6504 0.5000
8 Te 0.3496 0.1504 0.5000
9 Te 0.6504 0.8496 0.5000
10 Te 0.8496 0.3496 0.5000


b) # Cs2LiTe2

Crystalline Cs2LiTe2 at its relaxed geometry (PBE-GGA, the Alexandria database).

Properties
symmetry	No. 12
theoretical density	3.975	Mg/m³

Cell lengths 7.4629, 7.4629, 12.8829 Å; angles 104.52, 104.52, 39.63 degrees
Positions (direct):
1 Cs 0.0995 0.0995 0.4214
2 Cs 0.3012 0.3012 0.8458
3 Cs 0.6988 0.6988 0.1542
4 Cs 0.9005 0.9005 0.5786
5 Li 0.4277 0.4277 0.1676
6 Li 0.5723 0.5723 0.8324
7 Te 0.0387 0.0387 0.9077
8 Te 0.3610 0.3610 0.3381
9 Te 0.6390 0.6390 0.6619
10 Te 0.9613 0.9613 0.0923


Order of stability, best first: b), a)


a) # CsLi3Ti

Crystalline CsLi3Ti at its relaxed geometry (PBE-GGA, the Alexandria database).

Properties
symmetry	No. 221
theoretical density	2.230	Mg/m³

Cell lengths 5.3144, 5.3144, 5.3144 Å; angles 90.00, 90.00, 90.00 degrees
Positions (direct):
1 Cs 0.0000 0.0000 0.0000
2 Li 0.0000 0.0000 0.5000
3 Li 0.0000 0.5000 0.0000
4 Li 0.5000 0.0000 0.0000
5 Ti 0.5000 0.5000 0.5000


b) # CsLi3Ti

Crystalline CsLi3Ti at its relaxed geometry (PBE-GGA, the Alexandria database).

Properties
symmetry	No. 221
theoretical density	1.726	Mg/m³

Cell lengths 5.7880, 5.7880, 5.7880 Å; angles 90.00, 90.00, 90.00 degrees
Positions (direct):
1 Cs 0.0000 0.0000 0.0000
2 Li 0.0000 0.5000 0.5000
3 Li 0.5000 0.0000 0.5000
4 Li 0.5000 0.5000 0.0000
5 Ti 0.5000 0.5000 0.5000


Order of stability, best first: b), a)


a) # Cs2LiYTi

Crystalline Cs2LiYTi at its relaxed geometry (PBE-GGA, the Alexandria database).

Properties
symmetry	No. 123
theoretical density	2.407	Mg/m³

Cell lengths 7.0023, 7.0023, 5.7620 Å; angles 90.00, 90.00, 90.00 degrees
Positions (direct):
1 Cs 0.0000 0.5000 0.0000
2 Cs 0.5000 0.0000 0.0000
3 Li 0.0000 0.0000 0.5000
4 Y 0.5000 0.5000 0.5000
5 Ti 0.5000 0.5000 0.0000


b) # Cs2LiYTi

Crystalline Cs2LiYTi at its relaxed geometry (PBE-GGA, the Alexandria database).

Properties
symmetry	No. 123
theoretical density	2.575	Mg/m³

Cell lengths 6.9321, 6.9321, 5.4952 Å; angles 90.00, 90.00, 90.00 degrees
Positions (direct):
1 Cs 0.0000 0.5000 0.0000
2 Cs 0.5000 0.0000 0.0000
3 Li 0.0000 0.0000 0.5000
4 Y 0.0000 0.0000 0.0000
5 Ti 0.5000 0.5000 0.5000


Order of stability, best first: a), b)


a) # CsLiTl3

Crystalline CsLiTl3 at its relaxed geometry (PBE-GGA, the Alexandria database).

Properties
symmetry	No. 11
theoretical density	7.179	Mg/m³

Cell lengths 8.0015, 4.7511, 9.1704 Å; angles 90.00, 92.33, 90.00 degrees
Positions (direct):
1 Cs 0.2503 0.2500 0.0493
2 Cs 0.7497 0.7500 0.9507
3 Li 0.2467 0.2500 0.4668
4 Li 0.7533 0.7500 0.5332
5 Tl 0.0450 0.7500 0.3687
6 Tl 0.2599 0.7500 0.7122
7 Tl 0.4440 0.7500 0.3718
8 Tl 0.5560 0.2500 0.6282
9 Tl 0.7401 0.2500 0.2878
10 Tl 0.9550 0.2500 0.6313


b) # CsLiTl3

Crystalline CsLiTl3 at its relaxed geometry (PBE-GGA, the Alexandria database).

Properties
symmetry	No. 221
theoretical density	4.224	Mg/m³

Cell lengths 6.6646, 6.6646, 6.6646 Å; angles 90.00, 90.00, 90.00 degrees
Positions (direct):
1 Cs 0.0000 0.0000 0.0000
2 Li 0.5000 0.5000 0.5000
3 Tl 0.0000 0.0000 0.5000
4 Tl 0.0000 0.5000 0.0000
5 Tl 0.5000 0.0000 0.0000


Order of stability, best first: a), b)


a) # CsLiTl4

Crystalline CsLiTl4 at its relaxed geometry (PBE-GGA, the Alexandria database).

Properties
symmetry	No. 216
theoretical density	7.525	Mg/m³

Cell lengths 6.6851, 6.6851, 6.6851 Å; angles 60.00, 60.00, 60.00 degrees
Positions (direct):
1 Cs 0.0000 0.0000 0.0000
2 Li 0.2500 0.2500 0.2500
3 Tl 0.1287 0.6238 0.6238
4 Tl 0.6238 0.1287 0.6238
5 Tl 0.6238 0.6238 0.1287
6 Tl 0.6238 0.6238 0.6238


b) # CsLiTl4

Crystalline CsLiTl4 at its relaxed geometry (PBE-GGA, the Alexandria database).

Properties
symmetry	No. 71
theoretical density	7.717	Mg/m³

Cell lengths 10.9493, 10.9493, 10.9493 Å; angles 150.74, 139.82, 50.47 degrees
Positions (direct):
1 Cs 0.2134 0.2134 0.0000
2 Cs 0.7866 0.7866 0.0000
3 Li 0.5000 0.2629 0.7629
4 Li 0.5000 0.7371 0.2371
5 Tl 0.1340 0.4049 0.7291
6 Tl 0.1938 0.0000 0.1938
7 Tl 0.3242 0.5951 0.7291
8 Tl 0.3638 0.8638 0.5000
9 Tl 0.6362 0.1362 0.5000
10 Tl 0.6758 0.4049 0.2709
11 Tl 0.8062 0.0000 0.8062
12 Tl 0.8660 0.5951 0.2709


Order of stability, best first: b), a)


a) # Cs2LiTl4

Crystalline Cs2LiTl4 at its relaxed geometry (PBE-GGA, the Alexandria database).

Properties
symmetry	No. 139
theoretical density	6.195	Mg/m³

Cell lengths 10.8779, 10.8779, 10.8779 Å; angles 151.51, 151.51, 40.73 degrees
Positions (direct):
1 Cs 0.1629 0.1629 0.0000
2 Cs 0.8371 0.8371 0.0000
3 Li 0.5000 0.5000 0.0000
4 Tl 0.0000 0.5000 0.5000
5 Tl 0.3725 0.3725 0.0000
6 Tl 0.5000 0.0000 0.5000
7 Tl 0.6275 0.6275 0.0000


b) # Cs2LiTl4

Crystalline Cs2LiTl4 at its relaxed geometry (PBE-GGA, the Alexandria database).

Properties
symmetry	No. 10
theoretical density	5.660	Mg/m³

Cell lengths 7.7105, 5.0810, 8.2381 Å; angles 90.00, 97.69, 90.00 degrees
Positions (direct):
1 Cs 0.1446 0.0000 0.2821
2 Cs 0.8554 0.0000 0.7179
3 Li 0.5000 0.5000 0.0000
4 Tl 0.3669 0.0000 0.8453
5 Tl 0.3707 0.5000 0.6296
6 Tl 0.6293 0.5000 0.3704
7 Tl 0.6331 0.0000 0.1547


Order of stability, best first: b), a)


a) # CsLiTl2

Crystalline CsLiTl2 at its relaxed geometry (PBE-GGA, the Alexandria database).

Properties
symmetry	No. 166
theoretical density	5.755	Mg/m³

Cell lengths 7.7100, 7.7100, 7.7100 Å; angles 38.32, 38.32, 38.32 degrees
Positions (direct):
1 Cs 0.0000 0.0000 0.0000
2 Li 0.5000 0.5000 0.5000
3 Tl 0.1935 0.1935 0.1935
4 Tl 0.8065 0.8065 0.8065


b) # CsLiTl2

Crystalline CsLiTl2 at its relaxed geometry (PBE-GGA, the Alexandria database).

Properties
symmetry	No. 59
theoretical density	5.759	Mg/m³

Cell lengths 4.9750, 8.5036, 7.4778 Å; angles 90.00, 90.00, 90.00 degrees
Positions (direct):
1 Cs 0.2500 0.2500 0.0989
2 Cs 0.7500 0.7500 0.9011
3 Li 0.2500 0.7500 0.4226
4 Li 0.7500 0.2500 0.5774
5 Tl 0.2500 0.0608 0.6077
6 Tl 0.2500 0.4392 0.6077
7 Tl 0.7500 0.5608 0.3923
8 Tl 0.7500 0.9392 0.3923


c) # CsLiTl2

Crystalline CsLiTl2 at its relaxed geometry (PBE-GGA, the Alexandria database).

Properties
symmetry	No. 123
theoretical density	7.115	Mg/m³

Cell lengths 3.7099, 3.7099, 9.3024 Å; angles 90.00, 90.00, 90.00 degrees
Positions (direct):
1 Cs 0.0000 0.0000 0.0000
2 Li 0.0000 0.0000 0.5000
3 Tl 0.5000 0.5000 0.3233
4 Tl 0.5000 0.5000 0.6767


Order of stability, best first: a), b), c)


a) # CsLiTl2

Crystalline CsLiTl2 at its relaxed geometry (PBE-GGA, the Alexandria database).

Properties
symmetry	No. 225
theoretical density	6.276	Mg/m³

Cell lengths 5.8991, 5.8991, 5.8991 Å; angles 60.00, 60.00, 60.00 degrees
Positions (direct):
1 Cs 0.0000 0.0000 0.0000
2 Li 0.5000 0.5000 0.5000
3 Tl 0.2500 0.2500 0.2500
4 Tl 0.7500 0.7500 0.7500


b) # CsLiTl2

Crystalline CsLiTl2 at its relaxed geometry (PBE-GGA, the Alexandria database).

Properties
symmetry	No. 160
theoretical density	5.785	Mg/m³

Cell lengths 7.6470, 7.6470, 7.6470 Å; angles 38.75, 38.75, 38.75 degrees
Positions (direct):
1 Cs 0.0000 0.0000 0.0000
2 Li 0.8219 0.8219 0.8219
3 Tl 0.1953 0.1953 0.1953
4 Tl 0.4779 0.4779 0.4779


Order of stability, best first: b), a)